Compound: MnAu2
Source: the Alexandria database
Functional: PBE-GGA
Structure: optimized geometry

energy relative to the lowest polymorph listed for this composition: 0.0522 eV/atom
ΔE_f: -0.050 eV per atom
calculated total energy: -5.291 eV/atom
spin magnetization: 8.43 μB per cell
volume: 17.05 Å³/atom

Cell lengths 7.224, 7.224, 4.627 Å; angles 90.00, 90.00, 154.93 degrees
Fractional coordinates of all 6 atoms:
Mn (0.878, 0.122, 0.500)
Au (0.339, 0.661, 0.000)
Au (0.542, 0.458, 0.500)
Mn (0.678, 0.322, 0.000)
Au (0.013, 0.987, 0.000)
Au (0.216, 0.784, 0.500)



Compound: BaMg2Mo
Source: the Alexandria database
Functional: PBE-GGA
Structure: optimized geometry

energy relative to the lowest polymorph listed for this composition: 0.3234 eV/atom
ΔE_f: 0.846 eV per atom
calculated total energy: -3.140 eV/atom
spin magnetization: 2.67 μB per cell
volume: 26.98 Å³/atom

Cell lengths 3.902, 5.171, 5.348 Å; angles 90.00, 90.00, 90.00 degrees
Fractional coordinates of all 4 atoms:
Mg (0.000, 0.000, 0.000)
Mo (0.500, 0.000, 0.500)
Mg (0.500, 0.500, 0.000)
Ba (0.000, 0.500, 0.500)



Compound: PmNd2Dy2Y
Source: the Alexandria database
Functional: PBE-GGA
Structure: optimized geometry

ΔE_f: 0.058 eV per atom
calculated total energy: -4.935 eV/atom
spin magnetization: 0.00 μB per cell
volume: 33.23 Å³/atom

Cell lengths 5.702, 7.086, 9.870 Å; angles 90.00, 90.00, 90.00 degrees
Fractional coordinates of all 12 atoms:
Y (0.000, 0.508, 0.500)
Dy (0.000, 0.258, 0.836)
Nd (0.000, 0.258, 0.174)
Nd (0.500, 0.007, 0.000)
Dy (0.500, 0.758, 0.669)
Y (0.000, 0.008, 0.500)
Dy (0.500, 0.258, 0.331)
Dy (0.000, 0.758, 0.164)
Nd (0.500, 0.507, 0.000)
Pm (0.500, 0.758, 0.340)
Nd (0.000, 0.758, 0.826)
Pm (0.500, 0.258, 0.660)



Compound: ZrSnBi3
Source: the Alexandria database
Functional: PBE-GGA
Structure: optimized geometry

energy relative to the lowest polymorph listed for this composition: 0.0000 eV/atom
ΔE_f: 0.348 eV per atom
calculated total energy: -4.491 eV/atom
spin magnetization: 0.00 μB per cell
volume: 36.73 Å³/atom

Cell lengths 5.684, 5.684, 5.684 Å; angles 90.00, 90.00, 90.00 degrees
Fractional coordinates of all 5 atoms:
Zr (0.000, 0.000, 0.000)
Bi (0.500, 0.000, 0.000)
Bi (0.000, 0.000, 0.500)
Sn (0.500, 0.500, 0.500)
Bi (0.000, 0.500, 0.000)